[1]
Gd2SiRh PBE-GGA relaxed; calculated density = 8.5 g/cm3; space-group type = Fm-3m; energy above the most stable polymorph in this dataset = 0.035 eV/atom; magnetic moment = 14.00 μB/f.u.; uncorrected formation energy = -0.6282 eV per atom
1.0
0.000 3.512 3.512
3.512 0.000 3.512
3.512 3.512 0.000
Gd Si Rh
2 1 1
direct
0.250 0.250 0.250 Gd
0.750 0.750 0.750 Gd
0.000 0.000 0.000 Si
0.500 0.500 0.500 Rh

[2]
HgRh3Pb2O8 PBE-GGA relaxed; calculated density = 8.6 g/cm3; space-group type = R3m; magnetic moment = 0.00 μB/f.u.; uncorrected formation energy = -0.7556 eV per atom
1.0
3.177 1.834 5.836
-3.177 1.834 5.836
0.000 -3.669 5.836
Hg Rh Pb O
1 3 2 8
direct
0.000 0.000 0.000 Hg
0.367 0.367 0.867 Rh
0.367 0.867 0.367 Rh
0.867 0.367 0.367 Rh
0.364 0.364 0.364 Pb
0.743 0.743 0.743 Pb
0.114 0.114 0.556 O
0.114 0.556 0.114 O
0.143 0.143 0.143 O
0.176 0.617 0.617 O
0.556 0.114 0.114 O
0.591 0.591 0.591 O
0.617 0.176 0.617 O
0.617 0.617 0.176 O

[3]
SrMg8Zn4 PBE-GGA relaxed; calculated density = 3.3 g/cm3; space-group type = I4/mmm; energy of formation = -0.114 eV per atom; magnetic moment = 0.00 μB/f.u.
1.0
-4.948 4.948 2.826
4.948 -4.948 2.826
4.948 4.948 -2.826
Sr Mg Zn
1 8 4
direct
0.000 0.000 0.000 Sr
0.000 0.350 0.350 Mg
0.000 0.650 0.650 Mg
0.281 0.500 0.781 Mg
0.350 0.000 0.350 Mg
0.500 0.281 0.781 Mg
0.500 0.719 0.219 Mg
0.650 0.000 0.650 Mg
0.719 0.500 0.219 Mg
0.000 0.000 0.500 Zn
0.000 0.500 0.000 Zn
0.500 0.000 0.000 Zn
0.500 0.500 0.500 Zn

[4]
SrBe2Sb PBE-GGA relaxed; calculated density = 4.6 g/cm3; space-group type = Pmm2; magnetic moment = 0.00 μB/f.u.; uncorrected formation energy = 0.3198 eV per atom
1.0
3.283 0.000 0.000
0.000 3.584 0.000
0.000 0.000 7.000
Sr Be Sb
1 2 1
direct
0.000 0.000 0.000 Sr
0.000 0.000 0.436 Be
0.500 0.500 0.309 Be
0.500 0.500 0.654 Sb

The highest calculated density belongs to which entry?
HgRh3Pb2O8